(1)
Here is a crystal of KReAu2 relaxed with PBEsol from Alexandria. Energies are from SCAN.

Values from the calculation:
Energy relative to the elements   1.05 eV per atom
Space-group type   I-4m2 (119)
ΔE to the lowest computed polymorph   0.529 eV per atom
Total energy   -213.53 eV/cell

a b c (Å): 4.096 4.096 5.415
angles (deg): 112.22 112.22 90.00
Last column: magnetic moment on the atom in μB.
Fractional positions:
1 K 0.500 0.500 0.000  0.03
2 Re 0.250 0.750 0.500  2.38
3 Au 0.000 0.000 0.000  0.10
4 Au 0.750 0.250 0.500  0.08

(2)
Here is a crystal of Ca2TaW relaxed with PBEsol from Alexandria. Energies are from SCAN.

Values from the calculation:
Energy relative to the elements   0.67 eV per atom
Space-group type   Cmm2 (35)
ΔE to the lowest computed polymorph   0.000 eV per atom
Total energy   -152.92 eV/cell

a b c (Å): 3.097 3.097 10.438
angles (deg): 90.00 90.00 111.91
Fractional positions:
1 Ca 0.000 0.000 0.041
2 W 0.500 0.500 0.280
3 Ta 0.000 0.000 0.460
4 Ca 0.500 0.500 0.718

(3)
Here is a crystal of CoSiGe2Br relaxed with PBEsol from Alexandria. Energies are from SCAN.

Values from the calculation:
Space-group type   P4/mmm (123)
Raw formation energy   7.01 eV/f.u.
Total energy   -77.94 eV/cell

a b c (Å): 4.195 5.147 5.147
angles (deg): 90.00 90.00 90.00
Last column: magnetic moment on the atom in μB.
Fractional positions:
1 Br 0.000 0.000 0.000  -0.01
2 Ge 0.000 0.500 0.000  -0.02
3 Co 0.500 0.000 0.000  1.57
4 Si 0.500 0.500 0.500  0.02
5 Ge 0.000 0.000 0.500  -0.02